No. 1
Sm6P2CS3 | GGA-PBE | optimized geometry

Summary:
Theoretical density (kg/m³): 6500
SG: C2/m, No. 12
Raw formation energy (eV per atom): -1.6259

Unit cell a=8.9898 b=8.9898 c=8.0809 alpha=103.35 beta=103.35 gamma=25.58
Atoms (fractional coordinates):
Sm 0.0003 0.0003 0.2210
Sm 0.9997 0.9997 0.7790
Sm 0.3336 0.3336 0.4199
Sm 0.3470 0.3470 0.9212
Sm 0.6530 0.6530 0.0788
Sm 0.6664 0.6664 0.5801
P 0.1661 0.1661 0.3325
P 0.8339 0.8339 0.6675
C 0.5000 0.5000 0.0000
S 0.1685 0.1685 0.8349
S 0.5000 0.5000 0.5000
S 0.8315 0.8315 0.1651



No. 2
SrP2CS | GGA-PBE | optimized geometry

Summary:
Theoretical density (kg/m³): 1587
SG: P4/mmm, No. 123
Raw formation energy (eV per atom): 2.4441
Energy above the most stable polymorph in this dataset (kJ/mol of atoms): 197.83

Unit cell a=6.0029 b=6.0029 c=5.6212 alpha=90.00 beta=90.00 gamma=90.00
Atoms (fractional coordinates):
Sr 0.0000 0.0000 0.0000
P 0.0000 0.5000 0.0000
P 0.5000 0.0000 0.0000
C 0.5000 0.5000 0.5000
S 0.0000 0.0000 0.5000



No. 3
SrP2CS | GGA-PBE | optimized geometry

Summary:
Theoretical density (kg/m³): 2746
SG: P4/mmm, No. 123
Raw formation energy (eV per atom): 0.3938
Energy above the most stable polymorph in this dataset (kJ/mol of atoms): 0.00

Unit cell a=3.9474 b=3.9474 c=7.5154 alpha=90.00 beta=90.00 gamma=90.00
Atoms (fractional coordinates):
Sr 0.0000 0.0000 0.0000
P 0.0000 0.5000 0.5000
P 0.5000 0.0000 0.5000
C 0.5000 0.5000 0.5000
S 0.5000 0.5000 0.0000



No. 4
TaPCS2 | GGA-PBE | optimized geometry

Summary:
Theoretical density (kg/m³): 4349
SG: P4/mmm, No. 123
Raw formation energy (eV per atom): 1.3557
Energy above the most stable polymorph in this dataset (kJ/mol of atoms): 39.02

Unit cell a=4.7165 b=4.7165 c=4.9438 alpha=90.00 beta=90.00 gamma=90.00
Atoms (fractional coordinates):
Ta 0.0000 0.0000 0.0000
P 0.0000 0.0000 0.5000
C 0.5000 0.5000 0.5000
S 0.0000 0.5000 0.0000
S 0.5000 0.0000 0.0000



No. 5
TaP2CS | GGA-PBE | optimized geometry

Summary:
Theoretical density (kg/m³): 7225
SG: P4/mmm, No. 123
Raw formation energy (eV per atom): 0.8778
Energy above the most stable polymorph in this dataset (kJ/mol of atoms): 0.00

Unit cell a=3.9925 b=3.9925 c=4.1375 alpha=90.00 beta=90.00 gamma=90.00
Atoms (fractional coordinates):
Ta 0.0000 0.0000 0.0000
P 0.0000 0.5000 0.5000
P 0.5000 0.0000 0.5000
C 0.5000 0.5000 0.5000
S 0.5000 0.5000 0.0000



No. 6
TaPCS2 | GGA-PBE | optimized geometry

Summary:
Theoretical density (kg/m³): 7234
SG: P4/mmm, No. 123
Raw formation energy (eV per atom): 0.9512
Energy above the most stable polymorph in this dataset (kJ/mol of atoms): 0.00

Unit cell a=4.0136 b=4.0136 c=4.1051 alpha=90.00 beta=90.00 gamma=90.00
Atoms (fractional coordinates):
Ta 0.0000 0.0000 0.0000
P 0.5000 0.5000 0.0000
C 0.5000 0.5000 0.5000
S 0.0000 0.5000 0.5000
S 0.5000 0.0000 0.5000



No. 7
TaP2CS | GGA-PBE | optimized geometry

Summary:
Theoretical density (kg/m³): 4316
SG: P4/mmm, No. 123
Raw formation energy (eV per atom): 1.5679
Energy above the most stable polymorph in this dataset (kJ/mol of atoms): 66.58

Unit cell a=4.8602 b=4.8602 c=4.6742 alpha=90.00 beta=90.00 gamma=90.00
Atoms (fractional coordinates):
Ta 0.0000 0.0000 0.0000
P 0.0000 0.5000 0.0000
P 0.5000 0.0000 0.0000
C 0.5000 0.5000 0.5000
S 0.0000 0.0000 0.5000



No. 8
TcP2CS | GGA-PBE | optimized geometry

Summary:
Theoretical density (kg/m³): 3494
SG: P4/mmm, No. 123
Raw formation energy (eV per atom): 1.7510
Energy above the most stable polymorph in this dataset (kJ/mol of atoms): 61.09

Unit cell a=4.6418 b=4.6418 c=4.4996 alpha=90.00 beta=90.00 gamma=90.00
Atoms (fractional coordinates):
Tc 0.0000 0.0000 0.0000
P 0.0000 0.5000 0.0000
P 0.5000 0.0000 0.0000
C 0.5000 0.5000 0.5000
S 0.0000 0.0000 0.5000



Which formula does entry 1 have? Sm6P2CS3